{"formula": "Sr8TlAu2N", "functional": "PBE", "state": "optimized geometry", "lattice_angstrom": [[7.290, 0.101, -0.005], [0.137, 7.081, -0.008], [0.006, 0.011, 9.220]], "species": ["Au", "Au", "Sr", "Sr", "Sr", "Sr", "Sr", "Sr", "Sr", "Sr", "Tl", "N"], "fractional_positions": [[0.500, 0.500, 0.228], [0.500, 0.500, 0.772], [0.345, 0.280, 0.500], [0.164, 0.789, 0.203], [0.655, 0.720, 0.500], [0.836, 0.211, 0.797], [0.835, 0.211, 0.203], [0.285, 0.240, 0.000], [0.165, 0.789, 0.797], [0.715, 0.760, 0.000], [0.000, 0.000, 0.500], [0.000, 0.000, 0.000]], "total_energy_ev_per_atom": -2.981, "formation_energy_uncorrected_ev_per_atom": -0.42, "volume_a3_per_cell": 475.8}